Record 1
Compound: HfH2Cl6
Source: Alexandria
Functional: GGA-PBE
Structure: optimized geometry

Cell: 9.531 9.531 6.175 Å, 84.13 84.13 84.15°
Fractional positions:
H 0.606 0.653 0.220
H 0.347 0.394 0.280
H 0.653 0.606 0.720
H 0.394 0.347 0.780
Cl 0.159 0.037 0.393
Cl 0.894 0.323 0.361
Cl 0.037 0.159 0.893
Cl 0.550 0.714 0.392
Cl 0.286 0.450 0.108
Cl 0.106 0.677 0.639
Cl 0.963 0.841 0.107
Cl 0.714 0.550 0.892
Cl 0.677 0.106 0.139
Cl 0.450 0.286 0.608
Cl 0.323 0.894 0.861
Cl 0.841 0.963 0.607
Hf 0.097 0.903 0.750
Hf 0.903 0.097 0.250

Its total energy is -4.329 eV per atom. Its crystal system is monoclinic. The calculation puts the density of states at the Fermi level at 0.000 states/eV/atom.

***

Record 2
Compound: HfH3Cl
Source: Alexandria
Functional: GGA-PBE
Structure: optimized geometry

Cell: 3.860 3.860 3.860 Å, 90.00 90.00 90.00°
Fractional positions:
H 0.000 0.500 0.000
H 0.500 0.000 0.000
H 0.000 0.000 0.500
Hf 0.000 0.000 0.000
Cl 0.500 0.500 0.500

Its total energy is -4.561 eV per atom. Its crystal system is cubic. The energy above the most stable polymorph in this dataset is 0.000 eV per atom. The calculation puts the density of states at the Fermi level at 0.000 states/eV/atom.

***

Record 3
Compound: Hf2HCl8
Source: Alexandria
Functional: GGA-PBE
Structure: optimized geometry

Cell: 8.839 7.064 7.064 Å, 70.64 84.15 84.15°
Each line ends with the local moment (μB).
Fractional positions:
Cl 0.629 0.085 0.085  0.00
Cl 0.371 0.915 0.915  0.00
Cl 0.795 0.087 0.618  0.01
Cl 0.601 0.659 0.659  0.00
Cl 0.795 0.618 0.087  0.01
Cl 0.205 0.382 0.913  0.01
Cl 0.205 0.913 0.382  0.01
Cl 0.399 0.341 0.341  0.00
H 0.000 0.000 0.000  0.38
Hf 0.350 0.147 0.147  0.00
Hf 0.650 0.853 0.853  0.00

Its total energy is -4.879 eV per atom. Its crystal system is monoclinic. The calculation puts the density of states at the Fermi level at 0.000 states/eV/atom.